Below is crystalline PmBeAl3Cu at its relaxed geometry, with properties calculated at the PBE level.

abc: 6.8155 6.8155 5.5980
angles: 90.00 90.00 123.84
Positions (direct):
Pm: 0.2172 0.7828 0.7500
Pm: 0.7828 0.2172 0.2500
Be: 0.1418 0.8582 0.2500
Be: 0.8582 0.1418 0.7500
Al: 0.2003 0.2003 0.0000
Al: 0.2003 0.2003 0.5000
Al: 0.3489 0.6511 0.2500
Al: 0.6511 0.3489 0.7500
Al: 0.7997 0.7997 0.0000
Al: 0.7997 0.7997 0.5000
Cu: 0.4443 0.5557 0.7500
Cu: 0.5557 0.4443 0.2500

Results
Energy relative to the elements ... -0.045 eV per atom
Calculated volume ... 18.00 Å³ per atom
Density of states at the Fermi level ... 2.39 states/eV/f.u.